# MgZnAs2

Crystalline MgZnAs2 at its relaxed geometry (PBEsol, the Alexandria database).

As for the density of states at the Fermi level: 0.3766 states/eV per atom. The total energy is -13.72 eV/f.u. The energy relative to the lowest polymorph listed for this composition is 47 meV/atom.

The structure belongs to space group Imm2 (No. 44); the cell edges are 3.561, 4.066 and 10.145 Å and the angles 90.00°, 90.00° and 90.00°. Symmetry generates all atoms from Mg at (0.000, 0.000, 0.000), Zn at (0.000, 0.500, 0.785), As at (0.000, 0.000, 0.498) and As at (0.000, 0.500, 0.210).



# KSb2P

Crystalline KSb2P at its relaxed geometry (PBEsol, the Alexandria database).

As for the density of states at the Fermi level: 0.5126 states/eV per atom. The value obtained for the formation energy without anion corrections is 0.216 eV/atom. The total energy is -15.18 eV/f.u.

The structure belongs to space group I-4m2 (No. 119); the cell edges are 4.697, 4.697 and 8.947 Å and the angles 90.00°, 90.00° and 90.00°. Symmetry generates all atoms from K at (0.000, 0.000, 0.000), Sb at (0.000, 0.000, 0.500), Sb at (0.000, 0.500, 0.750) and P at (0.000, 0.500, 0.250).



# Mn2WCl

Crystalline Mn2WCl at its relaxed geometry (PBEsol, the Alexandria database).

As for the density of states at the Fermi level: 0.7108 states/eV per atom. The value obtained for the formation energy without anion corrections is 0.561 eV/atom. The total energy is -33.09 eV/f.u. The energy relative to the lowest polymorph listed for this composition is 269 meV/atom.

The structure belongs to space group C2/m (No. 12); the cell edges are 7.448, 2.838 and 7.429 Å and the angles 90.00°, 120.01° and 90.00°. Symmetry generates all atoms from Mn at (0.134, 0.000, 0.307), W at (0.000, 0.500, 0.500) and Cl at (0.000, 0.500, 0.000).



# LaReAs2

Crystalline LaReAs2 at its relaxed geometry (PBEsol, the Alexandria database).

As for the density of states at the Fermi level: 0.4898 states/eV per atom. The total energy is -30.89 eV/f.u.

The structure belongs to space group R3m (No. 160, hexagonal axes); the cell edges are 4.1649, 4.1649 and 16.8291 Å and the angles 90.00°, 90.00° and 120.00°. Symmetry generates all atoms from La at (0.0000, 0.0000, 0.0000), Re at (0.0000, 0.0000, 0.8122), As at (0.0000, 0.0000, 0.2167) and As at (0.0000, 0.0000, 0.4413).



# Ta2IrRu

Crystalline Ta2IrRu at its relaxed geometry (PBEsol, the Alexandria database).

As for the density of states at the Fermi level: 0.7659 states/eV per atom. The total energy is -46.68 eV/f.u.

The structure belongs to space group Pm (No. 6); the cell edges are 2.904, 4.495 and 4.880 Å and the angles 90.00°, 97.77° and 90.00°. Symmetry generates all atoms from Ta at (0.000, 0.000, 0.000), Ta at (0.166, 0.500, 0.601), Ir at (0.541, 0.500, 0.122) and Ru at (0.629, 0.000, 0.496).



# KSrH3

Crystalline KSrH3 at its relaxed geometry (PBEsol, the Alexandria database).

As for the density of states at the Fermi level: 0.0000 states/eV per atom. The total energy is -14.33 eV/f.u.

The structure belongs to space group Pm-3m (No. 221); the cell edges are 4.689, 4.689 and 4.689 Å and the angles 90.00°, 90.00° and 90.00°. Symmetry generates all atoms from K at (0.000, 0.000, 0.000), Sr at (0.500, 0.500, 0.500) and H at (0.000, 0.500, 0.500).



# CdTc3

Crystalline CdTc3 at its relaxed geometry (PBEsol, the Alexandria database).

As for the density of states at the Fermi level: 1.3967 states/eV per atom. The total energy is -32.80 eV/f.u. The energy relative to the lowest polymorph listed for this composition is 345 meV/atom.

The structure belongs to space group Pm-3m (No. 221); the cell edges are 3.908, 3.908 and 3.908 Å and the angles 90.00°, 90.00° and 90.00°. Symmetry generates all atoms from Cd at (0.000, 0.000, 0.000) and Tc at (0.000, 0.500, 0.500).



# CoTc2Br

Crystalline CoTc2Br at its relaxed geometry (PBEsol, the Alexandria database).

As for the density of states at the Fermi level: 1.1956 states/eV per atom. The value obtained for the formation energy without anion corrections is 0.942 eV/atom. The total energy is -28.37 eV/f.u. The energy relative to the lowest polymorph listed for this composition is 217 meV/atom.

The structure belongs to space group F-43m (No. 216); the cell edges are 6.089, 6.089 and 6.089 Å and the angles 90.00°, 90.00° and 90.00°. Symmetry generates all atoms from Co at (0.000, 0.000, 0.000), Tc at (0.000, 0.000, 0.500), Tc at (0.250, 0.250, 0.750) and Br at (0.250, 0.250, 0.250).



# ZrMoP

Crystalline ZrMoP at its relaxed geometry (PBEsol, the Alexandria database).

As for the density of states at the Fermi level: 0.4527 states/eV per atom. The total energy is -29.86 eV/f.u. The energy relative to the lowest polymorph listed for this composition is 0 meV/atom.

The structure belongs to space group P-62m (No. 189); the cell edges are 6.8813, 6.8813 and 3.4135 Å and the angles 90.00°, 90.00° and 120.00°. Symmetry generates all atoms from Zr at (0.0000, 0.5958, 0.0000), Mo at (0.0000, 0.2516, 0.5000), P at (0.0000, 0.0000, 0.0000) and P at (0.3333, 0.6667, 0.5000).



# KBa2InBr

Crystalline KBa2InBr at its relaxed geometry (PBEsol, the Alexandria database).

As for the density of states at the Fermi level: 1.4832 states/eV per atom. The value obtained for the formation energy without anion corrections is -0.544 eV/atom. The total energy is -13.00 eV/f.u.

The structure belongs to space group P4/mmm (No. 123); the cell edges are 6.255, 6.255 and 5.777 Å and the angles 90.00°, 90.00° and 90.00°. Symmetry generates all atoms from K at (0.000, 0.000, 0.000), Ba at (0.000, 0.500, 0.500), In at (0.500, 0.500, 0.000) and Br at (0.000, 0.000, 0.500).



# Al2ZnBr

Crystalline Al2ZnBr at its relaxed geometry (PBEsol, the Alexandria database).

As for the density of states at the Fermi level: 0.2797 states/eV per atom. The value obtained for the formation energy without anion corrections is 0.095 eV/atom. The total energy is -11.26 eV/f.u. The energy relative to the lowest polymorph listed for this composition is 2 meV/atom.

The structure belongs to space group Cm (No. 8); the cell edges are 10.817, 3.111 and 5.427 Å and the angles 90.00°, 119.95° and 90.00°. Symmetry generates all atoms from Al at (0.000, 0.000, 0.000), Al at (0.242, 0.000, 0.933), Zn at (0.104, 0.500, 0.462) and Br at (0.372, 0.000, 0.504).



# TiReP2

Crystalline TiReP2 at its relaxed geometry (PBEsol, the Alexandria database).

As for the density of states at the Fermi level: 0.7339 states/eV per atom. The total energy is -33.25 eV/f.u.

The structure belongs to space group I-42d (No. 122); the cell edges are 4.910, 4.910 and 12.479 Å and the angles 90.00°, 90.00° and 90.00°. Symmetry generates all atoms from Ti at (0.000, 0.000, 0.000), Re at (0.000, 0.000, 0.500) and P at (0.221, 0.250, 0.625).



# LaHBr2Cl

Crystalline LaHBr2Cl at its relaxed geometry (PBEsol, the Alexandria database).

As for the density of states at the Fermi level: 0.4895 states/eV per atom. The total energy is -18.85 eV/f.u.

The structure belongs to space group P4/mmm (No. 123); the cell edges are 4.466, 4.466 and 4.915 Å and the angles 90.00°, 90.00° and 90.00°. Symmetry generates all atoms from La at (0.000, 0.000, 0.000), H at (0.500, 0.500, 0.500), Br at (0.000, 0.500, 0.500) and Cl at (0.500, 0.500, 0.000).



# TaTl2Ru

Crystalline TaTl2Ru at its relaxed geometry (PBEsol, the Alexandria database).

As for the density of states at the Fermi level: 0.6182 states/eV per atom. The total energy is -25.53 eV/f.u.

The structure belongs to space group P2/m (No. 10); the cell edges are 3.076, 4.721 and 5.206 Å and the angles 90.00°, 93.59° and 90.00°. Symmetry generates all atoms from Ta at (0.000, 0.000, 0.000), Tl at (0.289, 0.500, 0.744) and Ru at (0.500, 0.000, 0.500).